Material: Nd2Mg2Si4Pd
Method: DFT, GGA-PBE
State: relaxed

The crystal system is tetragonal. The energy is -4.8368 eV per atom.

abc: 6.2507 6.2507 8.9910
angles: 90.00 90.00 90.00
Space group I4/mmm (No. 139)
One atom of each set of equivalent atoms:
1 Nd 0.0000 0.5000 0.2500
2 Mg 0.0000 0.0000 0.2172
3 Si 0.2108 0.2108 0.0000
4 Pd 0.0000 0.0000 0.5000



Material: NdMgSiPd
Method: DFT, GGA-PBE
State: relaxed

The crystal system is cubic. The energy is -4.7678 eV per atom.

abc: 6.8947 6.8947 6.8947
angles: 90.00 90.00 90.00
Space group F-43m (No. 216)
One atom of each set of equivalent atoms:
1 Nd 0.0000 0.0000 0.0000
2 Mg 0.0000 0.0000 0.5000
3 Si 0.2500 0.2500 0.7500
4 Pd 0.2500 0.2500 0.2500



Material: Nd2MgSn3Pd4
Method: DFT, GGA-PBE
State: relaxed

The crystal system is tetragonal. The value obtained for the formation energy is -0.77 eV/atom. The energy is -5.1576 eV per atom.

abc: 4.5482 4.5482 10.7905
angles: 90.00 90.00 90.00
Space group P-4m2 (No. 115)
One atom of each set of equivalent atoms:
1 Nd 0.0000 0.5000 0.2381
2 Mg 0.0000 0.0000 0.5000
3 Sn 0.0000 0.5000 0.8688
4 Sn 0.5000 0.5000 0.5000
5 Pd 0.0000 0.0000 0.0000
6 Pd 0.0000 0.5000 0.6289
7 Pd 0.5000 0.5000 0.0000